(1)
Entry from Alexandria: an optimized crystal structure of Lu2OsRh (PBE).

```
Lu2OsRh
1.0
-1.034 2.469 -2.009
-3.156 -1.065 0.315
-0.813 3.978 5.307
Lu Rh Os
2 1 1
Cartesian
-0.614 3.004 4.008
-0.199 0.974 1.299
-2.501 2.691 1.807
-2.095 0.702 -0.847
```

Results
The total magnetic moment comes out at 0.0 μB per cell. For the energy relative to the elements, the calculation gives -2.6 eV/f.u. The crystal system is tetragonal.


(2)
Entry from Alexandria: an optimized crystal structure of SmLuOsRh (PBE).

```
SmLuOsRh
1.0
-3.714 -0.804 -2.988
0.695 -2.428 -4.122
-1.775 -4.468 -0.502
Lu Sm Rh Os
1 1 1 1
Cartesian
-3.595 -5.775 -5.709
-1.198 -1.925 -1.903
-2.397 -3.850 -3.806
0.000 0.000 0.000
```

Results
The total magnetic moment comes out at 0.0 μB per cell. For the energy relative to the elements, the calculation gives -1.8 eV/f.u. The crystal system is cubic.


(3)
Entry from Alexandria: an optimized crystal structure of LuTaOsRh (PBE).

```
LuTaOsRh
1.0
4.605 0.000 0.000
2.302 3.988 0.000
2.302 1.329 3.760
Lu Os Rh Ta
1 1 1 1
Cartesian
4.605 2.659 1.880
6.907 3.988 2.820
2.302 1.329 0.940
0.000 0.000 0.000
```

Results
The total magnetic moment comes out at 0.0 μB per cell. For the energy relative to the elements, the calculation gives -1.9 eV/f.u. The crystal system is cubic.


(4)
Entry from Alexandria: an optimized crystal structure of LuThOsRh (PBE).

```
LuThOsRh
1.0
4.904 0.000 0.000
2.452 4.247 0.000
2.452 1.416 4.004
Os Lu Th Rh
1 1 1 1
Cartesian
4.904 2.831 2.002
7.356 4.247 3.003
2.452 1.416 1.001
0.000 0.000 0.000
```

Results
The total magnetic moment comes out at 0.0 μB per cell. For the energy relative to the elements, the calculation gives -2.3 eV/f.u. The crystal system is cubic.


(5)
Entry from Alexandria: an optimized crystal structure of TmLuOsRh (PBE).

```
TmLuOsRh
1.0
4.745 0.000 0.000
2.373 4.110 0.000
2.373 1.370 3.875
Tm Os Rh Lu
1 1 1 1
Cartesian
7.118 4.110 2.906
4.745 2.740 1.937
0.000 0.000 0.000
2.373 1.370 0.969
```

Results
The total magnetic moment comes out at 0.0 μB per cell. For the energy relative to the elements, the calculation gives -2.4 eV/f.u. The crystal system is cubic.


(6)
Entry from Alexandria: an optimized crystal structure of YLuOsRh (PBE).

```
YLuOsRh
1.0
4.788 0.000 0.000
2.394 4.146 0.000
2.394 1.382 3.909
Os Rh Lu Y
1 1 1 1
Cartesian
7.181 4.146 2.932
2.394 1.382 0.977
0.000 0.000 0.000
4.788 2.764 1.955
```

Results
The total magnetic moment comes out at 0.0 μB per cell. For the energy relative to the elements, the calculation gives -2.1 eV/f.u. The crystal system is cubic.


(7)
Entry from Alexandria: an optimized crystal structure of LuZrOsRh (PBE).

```
LuZrOsRh
1.0
4.690 0.000 0.000
2.345 4.061 0.000
2.345 1.354 3.829
Lu Zr Os Rh
1 1 1 1
Cartesian
2.345 1.354 0.957
7.034 4.061 2.872
4.690 2.707 1.914
0.000 0.000 0.000
```

Results
The total magnetic moment comes out at 0.0 μB per cell. For the energy relative to the elements, the calculation gives -2.7 eV/f.u. The crystal system is cubic.


(8)
Entry from Alexandria: an optimized crystal structure of LuScOsRu (PBE).

```
LuScOsRu
1.0
4.631 0.000 0.000
2.316 4.011 0.000
2.316 1.337 3.781
Ru Os Lu Sc
1 1 1 1
Cartesian
6.947 4.011 2.836
2.316 1.337 0.945
4.631 2.674 1.891
0.000 0.000 0.000
```

Results
The total magnetic moment comes out at 0.0 μB per cell. For the energy relative to the elements, the calculation gives -1.5 eV/f.u. The crystal system is cubic.


(9)
Entry from Alexandria: an optimized crystal structure of LuTaOsRu (PBE).

```
LuTaOsRu
1.0
4.586 0.000 0.000
2.293 3.971 0.000
2.293 1.324 3.744
Lu Ru Ta Os
1 1 1 1
Cartesian
6.879 3.971 2.808
4.586 2.648 1.872
2.293 1.324 0.936
0.000 0.000 0.000
```

Results
The total magnetic moment comes out at 0.0 μB per cell. For the energy relative to the elements, the calculation gives -1.8 eV/f.u. The crystal system is cubic.


(10)
Entry from Alexandria: an optimized crystal structure of TbLuOsRu (PBE).

```
TbLuOsRu
1.0
4.774 0.000 0.000
2.387 4.134 0.000
2.387 1.378 3.898
Tb Ru Os Lu
1 1 1 1
Cartesian
0.000 0.000 0.000
7.161 4.134 2.924
2.387 1.378 0.975
4.774 2.756 1.949
```

Results
The total magnetic moment comes out at 0.0 μB per cell. For the energy relative to the elements, the calculation gives -0.9 eV/f.u. The crystal system is cubic.


(11)
Entry from Alexandria: an optimized crystal structure of LuThOsRu (PBE).

```
LuThOsRu
1.0
-0.173 4.845 -0.604
-3.979 2.081 -1.925
-2.941 2.708 2.808
Os Th Ru Lu
1 1 1 1
Cartesian
0.000 0.000 0.000
-5.320 7.226 0.209
-3.547 4.817 0.139
-1.773 2.409 0.070
```

Results
The total magnetic moment comes out at 0.0 μB per cell. For the energy relative to the elements, the calculation gives -1.5 eV/f.u. The crystal system is cubic.


(12)
Entry from Alexandria: an optimized crystal structure of LuTiOsRu (PBE).

```
LuTiOsRu
1.0
-0.995 -4.161 1.506
1.986 -3.623 -1.870
3.082 -2.359 2.346
Ti Os Ru Lu
1 1 1 1
Cartesian
1.018 -2.536 0.496
0.000 0.000 0.000
2.037 -5.072 0.991
3.055 -7.608 1.487
```

Results
The total magnetic moment comes out at 0.0 μB per cell. For the energy relative to the elements, the calculation gives -1.9 eV/f.u. The crystal system is cubic.


(13)
Entry from Alexandria: an optimized crystal structure of LuUOsRu (PBE).

```
LuUOsRu
1.0
4.765 0.000 0.000
2.382 4.126 0.000
2.382 1.375 3.890
Lu Ru Os U
1 1 1 1
Cartesian
0.000 0.000 0.000
7.147 4.126 2.918
2.382 1.375 0.973
4.765 2.751 1.945
```

Results
The total magnetic moment comes out at 1.5 μB per cell. For the energy relative to the elements, the calculation gives -1.0 eV/f.u. The crystal system is cubic.


(14)
Entry from Alexandria: an optimized crystal structure of LuOsRuW (PBE).

```
LuOsRuW
1.0
4.542 0.000 0.000
2.271 3.933 0.000
2.271 1.311 3.708
Os W Ru Lu
1 1 1 1
Cartesian
2.271 1.311 0.927
0.000 0.000 0.000
6.812 3.933 2.781
4.542 2.622 1.854
```

Results
The total magnetic moment comes out at 0.0 μB per cell. For the energy relative to the elements, the calculation gives -0.3 eV/f.u. The crystal system is cubic.


(15)
Entry from Alexandria: an optimized crystal structure of Lu2SbOs (PBE).

```
Lu2SbOs
1.0
-1.655 -0.949 -2.744
2.763 0.458 -1.824
2.154 -7.641 1.343
Lu Sb Os
2 1 1
Cartesian
0.437 -1.551 0.272
1.717 -6.090 1.070
1.631 -4.066 -1.613
0.554 -0.245 -2.284
```

Results
The total magnetic moment comes out at 0.0 μB per cell. The formation energy (no corrections) comes out at -12.65 kcal/mol of atoms. The crystal system is tetragonal.


(16)
Entry from Alexandria: an optimized crystal structure of LuScOs (PBE).

```
LuScOs
1.0
-2.779 -1.723 0.311
1.579 -2.718 -0.952
1.994 1.012 6.088
Sc Os Lu
1 1 1
Cartesian
0.899 -0.779 3.719
0.642 -3.296 4.812
-0.369 -2.420 0.632
```

Results
The total magnetic moment comes out at 0.0 μB per cell. For the energy relative to the elements, the calculation gives -1.1 eV/f.u. For the polymorph energy (0 for the lowest one), the calculation gives 0 meV/atom. The crystal system is tetragonal.


(17)
Entry from Alexandria: an optimized crystal structure of LuScOs (PBE).

```
LuScOs
1.0
4.591 0.000 0.000
2.295 3.976 0.000
2.295 1.325 3.748
Sc Os Lu
1 1 1
Cartesian
4.591 2.650 1.874
2.295 1.325 0.937
0.000 0.000 0.000
```

Results
The total magnetic moment comes out at 0.0 μB per cell. For the energy relative to the elements, the calculation gives -0.8 eV/f.u. For the polymorph energy (0 for the lowest one), the calculation gives 82 meV/atom. The crystal system is cubic.


(18)
Entry from Alexandria: an optimized crystal structure of LuScOs2 (PBE).

```
LuScOs2
1.0
3.282 0.000 0.000
0.000 3.282 0.000
0.000 0.000 6.558
Os Sc Lu
2 1 1
Cartesian
0.000 0.000 4.992
0.000 0.000 1.566
1.641 1.641 0.000
1.641 1.641 3.279
```

Results
The total magnetic moment comes out at 0.0 μB per cell. For the energy relative to the elements, the calculation gives -1.0 eV/f.u. The crystal system is tetragonal.


(19)
Entry from Alexandria: an optimized crystal structure of LuScOs4 (PBE).

```
LuScOs4
1.0
-2.763 2.959 3.371
-2.021 -2.162 4.358
2.017 1.202 4.716
Sc Os Lu
1 4 1
Cartesian
-0.692 0.500 3.111
-0.349 -0.229 6.092
-0.720 2.328 5.599
-1.729 1.249 7.776
-2.736 0.648 5.421
0.000 0.000 0.000
```

Results
The total magnetic moment comes out at 0.0 μB per cell. For the energy relative to the elements, the calculation gives -2.0 eV/f.u. The crystal system is cubic.


(20)
Entry from Alexandria: an optimized crystal structure of LuScSnOs (PBE).

```
LuScSnOs
1.0
4.858 0.000 0.000
2.429 4.207 0.000
2.429 1.402 3.966
Os Sn Sc Lu
1 1 1 1
Cartesian
2.429 1.402 0.992
7.287 4.207 2.975
0.000 0.000 0.000
4.858 2.805 1.983
```

Results
The total magnetic moment comes out at 0.0 μB per cell. For the energy relative to the elements, the calculation gives -1.4 eV/f.u. The crystal system is cubic.